Entry from Alexandria via LeMat-Bulk: a geometry-optimized InGa3Bi structure (PBE).

Output
crystal system = cubic
total moment = 0.000 μB per atom
energy of formation = 0.43 eV per atom
DFT total energy = -0.199 Ry per atom

CIF file:
```
data_InGa3Bi
_cell_length_a 5.257
_cell_length_b 5.257
_cell_length_c 5.257
_cell_angle_alpha 90.00
_cell_angle_beta 90.00
_cell_angle_gamma 90.00
_space_group_name_H-M_alt 'P m -3 m'
_space_group_IT_number 221
_space_group_name_Hall '-P 4 2 3'
loop_
_atom_site_label
_atom_site_fract_x
_atom_site_fract_y
_atom_site_fract_z
In1 0.000 0.000 0.000
Ga1 0.000 0.000 0.500
Bi1 0.500 0.500 0.500
```

***

Entry from Alexandria via LeMat-Bulk: a geometry-optimized Re2IrWAu structure (PBE).

Output
crystal system = tetragonal
total moment = 0.170 μB per atom
energy of formation = 2.15 eV per atom
DFT total energy = -0.577 Ry per atom

CIF file:
```
data_Re2IrWAu
_cell_length_a 4.728
_cell_length_b 4.728
_cell_length_c 4.730
_cell_angle_alpha 90.00
_cell_angle_beta 90.00
_cell_angle_gamma 90.00
_space_group_name_H-M_alt 'P 4/m m m'
_space_group_IT_number 123
_space_group_name_Hall '-P 4 2'
loop_
_atom_site_label
_atom_site_fract_x
_atom_site_fract_y
_atom_site_fract_z
Re1 0.000 0.500 0.000
Ir1 0.000 0.000 0.500
W1 0.000 0.000 0.000
Au1 0.500 0.500 0.500
```

***

What did the first record say?
Entry from Alexandria via LeMat-Bulk: a geometry-optimized InGa3Bi structure (PBE).

Output
crystal system = cubic
total moment = 0.000 μB per atom
energy of formation = 0.43 eV per atom
DFT total energy = -0.199 Ry per atom

CIF file:
```
data_InGa3Bi
_cell_length_a 5.257
_cell_length_b 5.257
_cell_length_c 5.257
_cell_angle_alpha 90.00
_cell_angle_beta 90.00
_cell_angle_gamma 90.00
_space_group_name_H-M_alt 'P m -3 m'
_space_group_IT_number 221
_space_group_name_Hall '-P 4 2 3'
loop_
_atom_site_label
_atom_site_fract_x
_atom_site_fract_y
_atom_site_fract_z
In1 0.000 0.000 0.000
Ga1 0.000 0.000 0.500
Bi1 0.500 0.500 0.500
```

***

> Number 2 is which compound?

Re2IrWAu

***

> The lowest total moment belongs to which entry?

InGa3Bi

***

> The highest DFT total energy belongs to which entry?

InGa3Bi